## 1
First-principles (PBE) data for Er2Th5Sc12 after structural relaxation, as listed in the Alexandria database.

abc: 10.4954 10.6608 9.7831
angles: 90.00 107.25 90.00
Closest atoms and distances in Å follow each position.
Space group C2/m (No. 12)
One atom of each set of equivalent atoms:
1 Er 0.0000 0.2354 0.0000  8 Sc 3.30-3.42, 2 Th 3.56
2 Th 0.0000 0.5000 0.5000  6 Sc 3.16-3.22
3 Th 0.1641 0.0000 0.6027  9 Sc 3.27-3.57, 2 Th 3.43-3.48
4 Th 0.2326 0.0000 0.9732  6 Sc 3.19-3.53, 1 Th 3.48, 2 Er 3.56
5 Sc 0.0311 0.5000 0.1822  4 Th 3.19-3.27, 2 Er 3.30, 5 Sc 3.31-3.43
6 Sc 0.1035 0.0000 0.2429  4 Sc 3.07-3.23, 2 Th 3.30-3.39, 2 Er 3.40
7 Sc 0.1073 0.2521 0.3954  5 Sc 3.02-3.31, 2 Th 3.16-3.31
8 Sc 0.1840 0.2842 0.7687  4 Sc 3.02-3.36, 1 Th 3.34

Summary:
V	27.51	A^3/atom

---

## 2
First-principles (PBE) data for Er2Th5Sc12 after structural relaxation, as listed in the Alexandria database.

abc: 19.0283 6.3459 10.2655
angles: 90.00 113.32 90.00
Closest atoms and distances in Å follow each position.
Space group C2/m (No. 12)
One atom of each set of equivalent atoms:
1 Er 0.0000 0.2494 0.0000  2 Er 3.17-3.18, 2 Th 3.45, 2 Sc 3.46
2 Th 0.0000 0.5000 0.5000  10 Sc 3.46-3.83
3 Th 0.1137 0.0000 0.7905  3 Sc 3.03-3.24
4 Th 0.1429 0.0000 0.2783  3 Sc 2.80-3.11
5 Sc 0.0489 0.0000 0.4303  3 Sc 2.76-3.07, 2 Th 2.80-3.03
6 Sc 0.1292 0.5000 0.2980  2 Th 3.20, 6 Sc 3.21-3.43, 2 Er 3.46
7 Sc 0.1965 0.2470 0.5926  7 Sc 3.07-3.43, 3 Th 3.24-3.41
8 Sc 0.1998 0.2605 0.0824  5 Sc 3.02-3.37, 2 Th 3.11-3.24

Summary:
V	29.95	A^3/atom

---

Stability verdict: 1, ahead by 307 meV per atom

---

## 1
First-principles (PBE) data for Er5Th2Sc5 after structural relaxation, as listed in the Alexandria database.

abc: 11.5016 5.4215 11.5878
angles: 90.00 109.41 90.00
Closest atoms and distances in Å follow each position.
Space group C2/m (No. 12)
One atom of each set of equivalent atoms:
1 Er 0.0000 0.0000 0.0000  4 Er 3.34-3.45, 10 Sc 3.49-3.54
2 Er 0.0377 0.0000 0.7168  3 Sc 3.13-3.35, 2 Th 3.25-3.39, 1 Er 3.45
3 Er 0.2417 0.5000 0.7573  7 Sc 3.33-3.57, 4 Er 3.34-3.59, 3 Th 3.61-3.71
4 Th 0.2091 0.0000 0.5435  2 Th 3.14, 2 Er 3.25-3.39, 1 Sc 3.35
5 Sc 0.0000 0.5000 0.5000  6 Er 3.33-3.62, 6 Th 3.55, 2 Sc 3.68
6 Sc 0.0456 0.5000 0.2006  2 Sc 3.06-3.26, 2 Er 3.13, 1 Th 3.35
7 Sc 0.2061 0.5000 0.0367  4 Sc 3.06-3.26, 2 Er 3.35-3.40

Summary:
V	28.40	A^3/atom

---

## 2
First-principles (PBE) data for Er5Th2Sc5 after structural relaxation, as listed in the Alexandria database.

abc: 14.4117 4.8950 10.7342
angles: 90.00 116.21 90.00
Closest atoms and distances in Å follow each position.
Space group C2/m (No. 12)
One atom of each set of equivalent atoms:
1 Er 0.0000 0.0000 0.0000  6 Sc 3.37-3.44, 2 Er 3.40, 4 Th 3.41
2 Er 0.0867 0.0000 0.7525  7 Sc 3.35-3.45, 3 Er 3.40-3.44, 2 Th 3.46
3 Er 0.1658 0.0000 0.4976  5 Sc 3.39-3.47, 4 Er 3.40-3.44, 3 Th 3.44-3.45
4 Th 0.0825 0.5000 0.2460  5 Sc 3.37-3.42, 7 Er 3.41-3.46
5 Sc 0.0000 0.5000 0.5000  2 Th 3.42, 8 Er 3.43-3.45, 2 Sc 3.45
6 Sc 0.1679 0.5000 0.0004  5 Er 3.35-3.44, 2 Th 3.37-3.40, 5 Sc 3.37-3.41
7 Sc 0.2474 0.0000 0.2464  4 Sc 3.37-3.45, 6 Er 3.37-3.47, 2 Th 3.41

Summary:
V	28.31	A^3/atom

---

Stability verdict: 2, ahead by 39 meV per atom

---

## 1
First-principles (PBE) data for Er4Th3Sc after structural relaxation, as listed in the Alexandria database.

abc: 15.4969 5.7320 5.9172
angles: 90.00 110.14 90.00
Closest atoms and distances in Å follow each position.
Space group C2/m (No. 12)
One atom of each set of equivalent atoms:
1 Er 0.1310 0.0000 0.1877  1 Sc 3.18, 4 Er 3.38-3.45, 2 Th 3.47
2 Er 0.2484 0.0000 0.8001  6 Er 3.38-3.71, 5 Th 3.48-3.66, 1 Sc 3.64
3 Th 0.0000 0.5000 0.0000  4 Th 3.33-3.52, 6 Er 3.47-3.66
4 Th 0.1188 0.5000 0.5888  3 Th 3.33-3.52, 2 Sc 3.35, 5 Er 3.48-3.64
5 Sc 0.0000 0.0000 0.5000  2 Er 3.18, 4 Th 3.35

Summary:
V	30.84	A^3/atom

---

## 2
First-principles (PBE) data for Er4Th3Sc after structural relaxation, as listed in the Alexandria database.

abc: 11.3650 7.0789 6.1391
angles: 90.00 90.00 90.00
Closest atoms and distances in Å follow each position.
Space group Pmn2_1 (No. 31)
One atom of each set of equivalent atoms:
1 Er 0.0000 0.1296 0.0000  2 Sc 3.47-3.60, 6 Er 3.50-3.62, 4 Th 3.51-3.57
2 Er 0.0000 0.8671 0.5061  2 Sc 3.47-3.61, 6 Er 3.49-3.62, 4 Th 3.51-3.52
3 Er 0.2455 0.1271 0.3455  5 Th 3.44-3.65, 1 Sc 3.46, 6 Er 3.49-3.57
4 Th 0.0000 0.6254 0.0073  4 Th 3.46-3.49, 6 Er 3.51-3.57, 2 Sc 3.51-3.57
5 Th 0.2489 0.6132 0.3321  6 Er 3.44-3.65, 4 Th 3.46-3.49, 2 Sc 3.47
6 Sc 0.0000 0.3764 0.5121  6 Er 3.46-3.61, 6 Th 3.47-3.57

Summary:
V	30.87	A^3/atom

---

Stability verdict: 2, ahead by 84 meV per atom

---

## 1
First-principles (PBE) data for ErTh2Sc5 after structural relaxation, as listed in the Alexandria database.

abc: 6.8657 6.8657 9.1872
angles: 90.00 90.00 90.00
Closest atoms and distances in Å follow each position.
Space group I4/mmm (No. 139)
One atom of each set of equivalent atoms:
1 Er 0.0000 0.0000 0.0000  8 Sc 3.34, 4 Th 3.43
2 Th 0.0000 0.5000 0.0000  10 Sc 3.34-3.43, 2 Er 3.43
3 Sc 0.0000 0.0000 0.5000  8 Sc 3.34, 4 Th 3.43
4 Sc 0.2500 0.2500 0.2500  4 Th 3.34, 2 Er 3.34, 6 Sc 3.34-3.43

Summary:
V	27.07	A^3/atom

---

## 2
First-principles (PBE) data for ErTh2Sc5 after structural relaxation, as listed in the Alexandria database.

abc: 5.2198 9.1813 9.7878
angles: 90.00 90.00 90.00
Closest atoms and distances in Å follow each position.
Space group Immm (No. 71)
One atom of each set of equivalent atoms:
1 Er 0.0000 0.0000 0.0000  4 Th 3.18, 4 Sc 3.54
2 Th 0.0000 0.5000 0.3144  7 Sc 3.08-3.31, 2 Er 3.18
3 Sc 0.0000 0.1614 0.3288  1 Sc 2.96, 3 Th 3.11-3.31
4 Sc 0.0000 0.5000 0.0000  2 Th 3.08, 8 Sc 3.44

Summary:
V	29.32	A^3/atom

---

Stability verdict: 1, ahead by 361 meV per atom

---

## 1
First-principles (PBE) data for Er3ThSc4 after structural relaxation, as listed in the Alexandria database.

abc: 11.4455 12.4063 3.3063
angles: 90.00 106.49 90.00
Closest atoms and distances in Å follow each position.
Space group C2/m (No. 12)
One atom of each set of equivalent atoms:
1 Er 0.0000 0.0000 0.0000  4 Sc 3.20, 6 Er 3.31-3.44
2 Er 0.0000 0.2436 0.5000  6 Sc 3.14-3.47, 4 Er 3.31-3.44
3 Th 0.0000 0.5000 0.0000  2 Th 3.31, 4 Er 3.59, 8 Sc 3.62-3.63
4 Sc 0.2486 0.1349 0.2493  4 Er 3.14-3.47, 5 Sc 3.30-3.35

Summary:
V	28.14	A^3/atom

---

## 2
First-principles (PBE) data for Er3ThSc4 after structural relaxation, as listed in the Alexandria database.

abc: 10.8566 6.8903 5.9591
angles: 90.00 90.00 90.00
Closest atoms and distances in Å follow each position.
Space group Pmn2_1 (No. 31)
One atom of each set of equivalent atoms:
1 Er 0.0000 0.1304 0.0000  6 Sc 3.34-3.53, 4 Er 3.40, 2 Th 3.48-3.53
2 Er 0.2486 0.1321 0.3471  6 Sc 3.35-3.53, 4 Er 3.40-3.49, 2 Th 3.41
3 Th 0.0000 0.8633 0.5045  6 Sc 3.31-3.58, 6 Er 3.41-3.53
4 Sc 0.0000 0.3830 0.5090  2 Th 3.31-3.58, 6 Sc 3.32-3.42, 4 Er 3.35-3.50
5 Sc 0.0000 0.6182 0.0144  6 Sc 3.32-3.42, 4 Er 3.36-3.53, 2 Th 3.37-3.48
6 Sc 0.2490 0.3808 0.8441  6 Sc 3.32-3.40, 5 Er 3.34-3.53, 1 Th 3.34

Summary:
V	27.86	A^3/atom

---

Stability verdict: 2, ahead by 122 meV per atom

---

## 1
First-principles (PBE) data for Er3Th2Sc3 after structural relaxation, as listed in the Alexandria database.

abc: 4.8432 4.8811 19.5429
angles: 90.00 90.00 90.00
Closest atoms and distances in Å follow each position.
Space group Immm (No. 71)
One atom of each set of equivalent atoms:
1 Er 0.0000 0.0000 0.0000  8 Sc 3.43-3.44, 4 Er 3.43
2 Er 0.0000 0.5000 0.1237  6 Sc 3.42-3.44, 2 Er 3.43, 4 Th 3.46-3.47
3 Th 0.0000 0.0000 0.2495  4 Th 3.44, 4 Sc 3.44-3.47, 4 Er 3.46-3.47
4 Sc 0.0000 0.0000 0.5000  8 Er 3.42-3.44, 4 Sc 3.45
5 Sc 0.0000 0.5000 0.3754  6 Er 3.43-3.44, 4 Th 3.44-3.47, 2 Sc 3.45

Summary:
V	28.87	A^3/atom

---

## 2
First-principles (PBE) data for Er3Th2Sc3 after structural relaxation, as listed in the Alexandria database.

abc: 9.2277 9.2277 9.4614
angles: 90.00 90.00 120.00
Closest atoms and distances in Å follow each position.
Space group R32 (No. 155, hexagonal axes)
One atom of each set of equivalent atoms:
1 Er 0.0000 0.2813 0.0000  2 Sc 3.17, 2 Er 3.26, 2 Th 3.40
2 Th 0.0000 0.0000 0.2646  6 Sc 3.40-3.51, 6 Er 3.40-3.61
3 Sc 0.0000 0.7064 0.5000  2 Er 3.17, 2 Sc 3.22, 4 Th 3.40-3.51

Summary:
V	29.07	A^3/atom

---

Stability verdict: 1, ahead by 107 meV per atom

---

## 1
First-principles (PBE) data for Er5Th2Sc4 after structural relaxation, as listed in the Alexandria database.

abc: 3.3768 7.0989 27.6492
angles: 90.00 90.00 90.00
Closest atoms and distances in Å follow each position.
Space group Immm (No. 71)
One atom of each set of equivalent atoms:
1 Er 0.0000 0.0000 0.0000  4 Sc 2.88
2 Er 0.0000 0.2410 0.3046  1 Th 3.18, 5 Er 3.38-3.46
3 Th 0.0000 0.5000 0.3986  4 Er 3.18-3.27, 2 Th 3.38
4 Sc 0.0000 0.1721 0.5000  1 Sc 2.44
5 Sc 0.0000 0.5000 0.0982  6 Sc 3.38-3.42, 4 Er 3.60

Summary:
V	30.13	A^3/atom

---

## 2
First-principles (PBE) data for Er5Th2Sc4 after structural relaxation, as listed in the Alexandria database.

abc: 8.3618 3.4205 11.4180
angles: 90.00 96.81 90.00
Closest atoms and distances in Å follow each position.
Space group P2/m (No. 10)
One atom of each set of equivalent atoms:
1 Er 0.0000 0.0000 0.0000  4 Sc 3.28, 6 Er 3.35-3.42
2 Er 0.0458 0.0000 0.2955  4 Er 3.35-3.54, 6 Sc 3.37-3.57, 1 Th 3.47
3 Er 0.3422 0.0000 0.8673  1 Th 3.24, 4 Sc 3.36-3.42, 4 Er 3.39-3.54
4 Th 0.4622 0.0000 0.3614  3 Th 3.15-3.42, 2 Er 3.24-3.47, 4 Sc 3.34-3.42
5 Sc 0.1941 0.5000 0.5383  3 Sc 3.26-3.42, 4 Er 3.37-3.38, 4 Th 3.42-3.62
6 Sc 0.3104 0.5000 0.1227  8 Er 3.28-3.57, 2 Th 3.34, 2 Sc 3.42

Summary:
V	29.48	A^3/atom

---

Stability verdict: 2, ahead by 258 meV per atom

---

## 1
First-principles (PBE) data for Er2ThSc2 after structural relaxation, as listed in the Alexandria database.

abc: 5.2577 16.1422 6.7151
angles: 90.00 90.00 90.00
Closest atoms and distances in Å follow each position.
Space group Cmc2_1 (No. 36)
One atom of each set of equivalent atoms:
1 Er 0.0000 0.0027 0.0000  3 Sc 3.19-3.57, 3 Er 3.29-3.36, 2 Th 3.56
2 Er 0.0000 0.2009 0.4844  7 Sc 3.08-3.43, 1 Er 3.29
3 Th 0.0000 0.3926 0.2417  6 Sc 3.34-3.58, 7 Er 3.49-3.57
4 Sc 0.0000 0.2002 0.9882  5 Er 3.08-3.38, 3 Sc 3.41-3.43
5 Sc 0.0000 0.3854 0.7386  3 Th 3.34-3.58, 7 Er 3.40-3.68, 3 Sc 3.41-3.43

Summary:
V	28.50	A^3/atom

---

## 2
First-principles (PBE) data for Er2ThSc2 after structural relaxation, as listed in the Alexandria database.

abc: 6.4113 10.3279 9.1247
angles: 90.00 107.49 90.00
Closest atoms and distances in Å follow each position.
Space group C2/m (No. 12)
One atom of each set of equivalent atoms:
1 Er 0.0168 0.0000 0.3317  2 Er 3.14-3.29, 4 Sc 3.22-3.50, 2 Th 3.50
2 Er 0.2237 0.5000 0.9297  6 Sc 3.22-3.27, 4 Er 3.29-3.58
3 Th 0.0000 0.3280 0.5000  4 Sc 3.33-3.46, 2 Er 3.50, 3 Th 3.55-3.59
4 Sc 0.1589 0.2829 0.1727  3 Sc 3.20-3.28, 5 Er 3.22-3.50, 2 Th 3.33-3.46

Summary:
V	28.81	A^3/atom

---

Stability verdict: 1, ahead by 107 meV per atom